(1)
Here is a relaxed Y2Cu crystal from Alexandria via LeMat-Bulk. Energies are from GGA-PBE.

Unit cell a=7.3443 b=7.3443 c=4.8669 alpha=90.00 beta=90.00 gamma=120.00
Space group P-62m (No. 189)
Symmetry-distinct sites (fractional):
Y (0.0000, 0.2679, 0.0000) [3 per cell]
Y (0.0000, 0.5989, 0.5000) [3 per cell]
Cu (0.0000, 0.0000, 0.5000) [1 per cell]
Cu (0.3333, 0.6667, 0.0000) [2 per cell]

Calculated values
For the spin magnetization, the calculation gives 0.000 μB/f.u. Its energy of formation from the pure elements is -124 meV/atom. For the calculated volume, the calculation gives 75.8 Å³/f.u.

(2)
Here is a relaxed Y2Cu crystal from Alexandria via LeMat-Bulk. Energies are from GGA-PBE.

Unit cell a=6.903 b=6.903 c=6.903 alpha=90.00 beta=90.00 gamma=90.00
Space group Pa-3 (No. 205)
Symmetry-distinct sites (fractional):
Y (0.155, 0.155, 0.155) [8 per cell]
Cu (0.000, 0.000, 0.500) [4 per cell]

Calculated values
For the spin magnetization, the calculation gives 0.353 μB/f.u. Its energy of formation from the pure elements is 7 meV/atom. For the calculated volume, the calculation gives 82.2 Å³/f.u.

(3)
Here is a relaxed YCu13 crystal from Alexandria via LeMat-Bulk. Energies are from GGA-PBE.

Unit cell a=11.521 b=11.521 c=11.521 alpha=90.00 beta=90.00 gamma=90.00
Space group Fm-3c (No. 226)
Symmetry-distinct sites (fractional):
Y (0.250, 0.250, 0.250) [8 per cell]
Cu (0.000, 0.000, 0.000) [8 per cell]
Cu (0.000, 0.118, 0.180) [96 per cell]

Calculated values
For the spin magnetization, the calculation gives 0.000 μB/f.u. Its energy of formation from the pure elements is -39 meV/atom. For the calculated volume, the calculation gives 191.2 Å³/f.u.

(4)
Here is a relaxed Y2Cu crystal from Alexandria via LeMat-Bulk. Energies are from GGA-PBE.

Unit cell a=6.880 b=6.880 c=6.880 alpha=90.00 beta=90.00 gamma=90.00
Space group Fm-3m (No. 225)
Symmetry-distinct sites (fractional):
Y (0.250, 0.250, 0.250) [8 per cell]
Cu (0.000, 0.000, 0.000) [4 per cell]

Calculated values
For the spin magnetization, the calculation gives 0.000 μB/f.u. Its energy of formation from the pure elements is 59 meV/atom. For the calculated volume, the calculation gives 81.4 Å³/f.u.

(5)
Here is a relaxed YCu3 crystal from Alexandria via LeMat-Bulk. Energies are from GGA-PBE.

Unit cell a=3.7553 b=3.7553 c=6.2774 alpha=90.00 beta=90.00 gamma=120.00
Space group P-6m2 (No. 187)
Symmetry-distinct sites (fractional):
Y (0.0000, 0.0000, 0.0000) [1 per cell]
Cu (0.0000, 0.0000, 0.5000) [1 per cell]
Cu (0.3333, 0.6667, 0.3050) [2 per cell]

Calculated values
For the spin magnetization, the calculation gives 0.000 μB/f.u. Its energy of formation from the pure elements is 188 meV/atom. For the calculated volume, the calculation gives 76.7 Å³/f.u.

(6)
Here is a relaxed Y2Cu crystal from Alexandria via LeMat-Bulk. Energies are from GGA-PBE.

Unit cell a=3.556 b=16.179 c=5.190 alpha=90.00 beta=90.00 gamma=90.00
Space group Cmcm (No. 63)
Symmetry-distinct sites (fractional):
Y (0.000, 0.076, 0.250) [4 per cell]
Y (0.000, 0.217, 0.750) [4 per cell]
Cu (0.000, 0.426, 0.250) [4 per cell]

Calculated values
For the spin magnetization, the calculation gives 0.000 μB/f.u. Its energy of formation from the pure elements is -124 meV/atom. For the calculated volume, the calculation gives 74.7 Å³/f.u.

(7)
Here is a relaxed Y5Cu4 crystal from Alexandria via LeMat-Bulk. Energies are from GGA-PBE.

Unit cell a=8.5441 b=8.5441 c=6.6092 alpha=90.00 beta=90.00 gamma=120.00
Space group P6_3/mcm (No. 193)
Symmetry-distinct sites (fractional):
Y (0.0000, 0.2696, 0.2500) [6 per cell]
Y (0.3333, 0.6667, 0.0000) [4 per cell]
Cu (0.0000, 0.0000, 0.0000) [2 per cell]
Cu (0.0000, 0.3944, 0.7500) [6 per cell]

Calculated values
For the spin magnetization, the calculation gives 0.000 μB/f.u. Its energy of formation from the pure elements is -108 meV/atom. For the calculated volume, the calculation gives 208.9 Å³/f.u. As for the energy above the most stable polymorph in this dataset: 0.00 eV/f.u.

(8)
Here is a relaxed Y3Cu2 crystal from Alexandria via LeMat-Bulk. Energies are from GGA-PBE.

Unit cell a=4.496 b=14.245 c=3.799 alpha=90.00 beta=90.00 gamma=90.00
Space group Cmmm (No. 65)
Symmetry-distinct sites (fractional):
Y (0.000, 0.000, 0.000) [2 per cell]
Y (0.000, 0.354, 0.500) [4 per cell]
Cu (0.000, 0.203, 0.000) [4 per cell]

Calculated values
For the spin magnetization, the calculation gives 0.000 μB/f.u. Its energy of formation from the pure elements is -174 meV/atom. For the calculated volume, the calculation gives 121.6 Å³/f.u. As for the energy above the most stable polymorph in this dataset: 0.00 eV/f.u.

(9)
Here is a relaxed Y3Cu11 crystal from Alexandria via LeMat-Bulk. Energies are from GGA-PBE.

Unit cell a=4.171 b=8.755 c=12.220 alpha=90.00 beta=90.00 gamma=90.00
Space group Immm (No. 71)
Symmetry-distinct sites (fractional):
Y (0.000, 0.000, 0.000) [2 per cell]
Y (0.000, 0.000, 0.306) [4 per cell]
Cu (0.000, 0.209, 0.500) [4 per cell]
Cu (0.000, 0.280, 0.122) [8 per cell]
Cu (0.000, 0.356, 0.325) [8 per cell]
Cu (0.000, 0.500, 0.000) [2 per cell]

Calculated values
For the spin magnetization, the calculation gives 0.000 μB/f.u. Its energy of formation from the pure elements is -195 meV/atom. For the calculated volume, the calculation gives 223.1 Å³/f.u.

(10)
Here is a relaxed Y2Cu crystal from Alexandria via LeMat-Bulk. Energies are from GGA-PBE.

Unit cell a=4.913 b=4.913 c=3.356 alpha=90.00 beta=90.00 gamma=90.00
Space group P4/mmm (No. 123)
Symmetry-distinct sites (fractional):
Y (0.000, 0.500, 0.000) [2 per cell]
Cu (0.000, 0.000, 0.500) [1 per cell]

Calculated values
For the spin magnetization, the calculation gives 0.001 μB/f.u. Its energy of formation from the pure elements is 81 meV/atom. For the calculated volume, the calculation gives 81.0 Å³/f.u.

(11)
Here is a relaxed YCu6 crystal from Alexandria via LeMat-Bulk. Energies are from GGA-PBE.

Unit cell a=5.477 b=5.477 c=5.477 alpha=90.00 beta=90.00 gamma=90.00
Space group Pm-3m (No. 221)
Symmetry-distinct sites (fractional):
Y (0.000, 0.000, 0.000) [1 per cell]
Cu (0.197, 0.500, 0.500) [6 per cell]

Calculated values
For the spin magnetization, the calculation gives 0.000 μB/f.u. Its energy of formation from the pure elements is 857 meV/atom. For the calculated volume, the calculation gives 164.3 Å³/f.u. As for the energy above the most stable polymorph in this dataset: 7.10 eV/f.u.

(12)
Here is a relaxed Y6Cu5 crystal from Alexandria via LeMat-Bulk. Energies are from GGA-PBE.

Unit cell a=4.906 b=6.947 c=14.689 alpha=90.00 beta=90.00 gamma=90.00
Space group Immm (No. 71)
Symmetry-distinct sites (fractional):
Y (0.000, 0.248, 0.000) [4 per cell]
Y (0.000, 0.250, 0.335) [8 per cell]
Cu (0.000, 0.000, 0.169) [4 per cell]
Cu (0.000, 0.500, 0.172) [4 per cell]
Cu (0.000, 0.500, 0.500) [2 per cell]

Calculated values
For the spin magnetization, the calculation gives 0.000 μB/f.u. Its energy of formation from the pure elements is -168 meV/atom. For the calculated volume, the calculation gives 250.3 Å³/f.u.

Among the records above, which one has the lowest calculated volume?
number 6

Which value of energy of formation from the pure elements does entry 8 give?
-174 meV/atom

What is the calculated volume in the seventh record?
208.9 Å³/f.u.

Which value of spin magnetization does entry 11 give?
0.000 μB/f.u.